No. 1
Density functional theory data (PBE-GGA) for a relaxed structure of SmRe3Si3.

Formation energy without anion corrections, eV/f.u.: -2.42
DOS at the Fermi energy, states/eV per atom: 0.624
Uncorrected energy, eV/atom: -8.679

CIF file:
```
data_SmRe3Si3
_cell_length_a 7.3821
_cell_length_b 4.1928
_cell_length_c 7.9675
_cell_angle_alpha 90.00
_cell_angle_beta 99.24
_cell_angle_gamma 90.00
_symmetry_space_group_name_H-M 'P 1 21/m 1'
_symmetry_Int_Tables_number 11
loop_
_symmetry_equiv_pos_as_xyz
'x,y,z'
'-x,-y,-z'
'-x,y+1/2,-z'
'x,-y+1/2,z'
loop_
_atom_site_label
_atom_site_type_symbol
_atom_site_fract_x
_atom_site_fract_y
_atom_site_fract_z
_atom_site_occupancy
Sm1 Sm 0.1638 0.2500 0.3739 1
Re1 Re 0.2748 0.7500 0.7921 1
Re2 Re 0.3851 0.2500 0.0352 1
Re3 Re 0.4917 0.2500 0.7303 1
Si1 Si 0.1009 0.2500 0.7991 1
Si2 Si 0.2038 0.7500 0.0936 1
Si3 Si 0.4274 0.7500 0.5499 1
```



No. 2
Density functional theory data (PBE-GGA) for a relaxed structure of CeY4Pu3S8.

Formation energy without anion corrections, eV/f.u.: -31.07
DOS at the Fermi energy, states/eV per atom: 1.656
Uncorrected energy, eV/atom: -8.680

CIF file:
```
data_CeY4Pu3S8
_cell_length_a 7.8629
_cell_length_b 7.8629
_cell_length_c 19.4807
_cell_angle_alpha 90.00
_cell_angle_beta 90.00
_cell_angle_gamma 120.00
_symmetry_space_group_name_H-M 'R -3 m'
_symmetry_Int_Tables_number 166
_symmetry_space_group_name_Hall '-R 3 2"'
loop_
_atom_site_label
_atom_site_type_symbol
_atom_site_fract_x
_atom_site_fract_y
_atom_site_fract_z
_atom_site_occupancy
Ce1 Ce 0.0000 0.0000 0.0000 1
Y1 Y 0.0000 0.0000 0.5000 1
Y2 Y 0.0000 0.5000 0.5000 1
Pu1 Pu 0.0000 0.5000 0.0000 1
S1 S 0.0000 0.0000 0.2492 1
S2 S 0.0027 0.5014 0.2482 1
```